Arrangement w

{"formula": "Co2AsN", "functional": "PBE", "state": "relaxed", "m_tot_mub_per_cell": 0.00, "lattice": [[-2.310, 2.310, 4.851], [2.310, -2.310, 4.851], [2.310, 2.310, -4.851]], "species": ["Co", "Co", "Co", "Co", "As", "As", "N", "N"], "fractional_positions": [[0.028, 0.625, 0.903], [0.375, 0.278, 0.403], [0.722, 0.125, 0.097], [0.875, 0.972, 0.597], [0.250, 0.750, 0.500], [0.500, 0.500, 0.000], [0.000, 0.000, 0.000], [0.750, 0.250, 0.500]]}



Arrangement x

{"formula": "Co2AsN", "functional": "PBE", "state": "relaxed", "m_tot_mub_per_cell": 2.04, "lattice": [[0.000, 2.778, 2.778], [2.778, 0.000, 2.778], [2.778, 2.778, 0.000]], "species": ["Co", "Co", "As", "N"], "fractional_positions": [[0.250, 0.250, 0.250], [0.750, 0.750, 0.750], [0.000, 0.000, 0.000], [0.500, 0.500, 0.500]]}



The winner here is arrangement w, beating the second structure by 678 meV per atom.



Arrangement w

{"formula": "CoAsS2N", "functional": "PBE", "state": "relaxed", "m_tot_mub_per_cell": 0.00, "lattice": [[4.663, 0.000, 0.000], [0.000, 4.663, 0.000], [0.000, 0.000, 3.399]], "species": ["Co", "As", "S", "S", "N"], "fractional_positions": [[0.000, 0.000, 0.000], [0.500, 0.500, 0.500], [0.000, 0.500, 0.000], [0.500, 0.000, 0.000], [0.000, 0.000, 0.500]]}



Arrangement x

{"formula": "CoAsS2N", "functional": "PBE", "state": "relaxed", "m_tot_mub_per_cell": 3.08, "lattice": [[4.842, 0.000, 0.000], [0.000, 4.842, 0.000], [0.000, 0.000, 3.537]], "species": ["Co", "As", "S", "S", "N"], "fractional_positions": [[0.000, 0.000, 0.000], [0.500, 0.500, 0.500], [0.000, 0.500, 0.500], [0.500, 0.000, 0.500], [0.500, 0.500, 0.000]]}



The winner here is arrangement w, beating the second structure by 660 meV per atom.



Arrangement w

{"formula": "CoAsSN2", "functional": "PBE", "state": "relaxed", "m_tot_mub_per_cell": 2.93, "lattice": [[3.557, 0.000, 0.000], [0.000, 3.557, 0.000], [0.000, 0.000, 6.068]], "species": ["Co", "As", "S", "N", "N"], "fractional_positions": [[0.000, 0.000, 0.000], [0.500, 0.500, 0.500], [0.500, 0.500, 0.000], [0.000, 0.500, 0.500], [0.500, 0.000, 0.500]]}



Arrangement x

{"formula": "CoAsSN2", "functional": "PBE", "state": "relaxed", "m_tot_mub_per_cell": 0.17, "lattice": [[3.618, 0.000, 0.000], [0.000, 3.618, 0.000], [0.000, 0.000, 4.927]], "species": ["Co", "As", "S", "N", "N"], "fractional_positions": [[0.000, 0.000, 0.000], [0.500, 0.500, 0.500], [0.000, 0.000, 0.500], [0.000, 0.500, 0.000], [0.500, 0.000, 0.000]]}



The winner here is arrangement x, beating the second structure by 319 meV per atom.



Arrangement w

{"formula": "CoAsSeN2", "functional": "PBE", "state": "relaxed", "m_tot_mub_per_cell": 2.98, "lattice": [[3.603, 0.000, 0.000], [0.000, 3.603, 0.000], [0.000, 0.000, 6.446]], "species": ["Co", "As", "Se", "N", "N"], "fractional_positions": [[0.000, 0.000, 0.000], [0.500, 0.500, 0.500], [0.500, 0.500, 0.000], [0.000, 0.500, 0.500], [0.500, 0.000, 0.500]]}



Arrangement x

{"formula": "CoAsSeN2", "functional": "PBE", "state": "relaxed", "m_tot_mub_per_cell": 0.84, "lattice": [[3.683, 0.000, 0.000], [0.000, 3.683, 0.000], [0.000, 0.000, 5.103]], "species": ["Co", "As", "Se", "N", "N"], "fractional_positions": [[0.000, 0.000, 0.000], [0.500, 0.500, 0.500], [0.000, 0.000, 0.500], [0.000, 0.500, 0.000], [0.500, 0.000, 0.000]]}



The winner here is arrangement x, beating the second structure by 268 meV per atom.



Arrangement w

{"formula": "CoAs2SeN", "functional": "PBE", "state": "relaxed", "m_tot_mub_per_cell": 0.91, "lattice": [[4.295, 0.000, 0.000], [0.000, 4.295, 0.000], [0.000, 0.000, 4.208]], "species": ["Co", "As", "As", "Se", "N"], "fractional_positions": [[0.000, 0.000, 0.000], [0.000, 0.500, 0.500], [0.500, 0.000, 0.500], [0.500, 0.500, 0.000], [0.500, 0.500, 0.500]]}



Arrangement x

{"formula": "CoAs2SeN", "functional": "PBE", "state": "relaxed", "m_tot_mub_per_cell": 0.00, "lattice": [[4.407, 0.000, 0.000], [0.000, 4.407, 0.000], [0.000, 0.000, 4.748]], "species": ["Co", "As", "As", "Se", "N"], "fractional_positions": [[0.000, 0.000, 0.000], [0.000, 0.500, 0.000], [0.500, 0.000, 0.000], [0.000, 0.000, 0.500], [0.500, 0.500, 0.500]]}



The winner here is arrangement w, beating the second structure by 405 meV per atom.



Arrangement w

{"formula": "CoTeAsN2", "functional": "PBE", "state": "relaxed", "m_tot_mub_per_cell": 2.81, "lattice": [[3.682, 0.000, 0.000], [0.000, 3.682, 0.000], [0.000, 0.000, 6.825]], "species": ["Co", "Te", "As", "N", "N"], "fractional_positions": [[0.000, 0.000, 0.000], [0.500, 0.500, 0.000], [0.500, 0.500, 0.500], [0.000, 0.500, 0.500], [0.500, 0.000, 0.500]]}



Arrangement x

{"formula": "CoTeAsN2", "functional": "PBE", "state": "relaxed", "m_tot_mub_per_cell": 2.42, "lattice": [[3.803, 0.000, 0.000], [0.000, 3.803, 0.000], [0.000, 0.000, 5.408]], "species": ["Co", "Te", "As", "N", "N"], "fractional_positions": [[0.000, 0.000, 0.000], [0.000, 0.000, 0.500], [0.500, 0.500, 0.500], [0.000, 0.500, 0.000], [0.500, 0.000, 0.000]]}



The winner here is arrangement x, beating the second structure by 214 meV per atom.



Arrangement w

{"formula": "NaCoAs3", "functional": "PBE", "state": "relaxed", "m_tot_mub_per_cell": 0.00, "lattice": [[4.858, 0.000, 0.000], [0.000, 4.858, 0.000], [0.000, 0.000, 4.858]], "species": ["Na", "Co", "As", "As", "As"], "fractional_positions": [[0.000, 0.000, 0.000], [0.500, 0.500, 0.500], [0.000, 0.000, 0.500], [0.000, 0.500, 0.000], [0.500, 0.000, 0.000]]}



Arrangement x

{"formula": "NaCoAs3", "functional": "PBE", "state": "relaxed", "m_tot_mub_per_cell": 0.00, "lattice": [[4.691, 0.000, 0.000], [0.000, 4.691, 0.000], [0.000, 0.000, 4.691]], "species": ["Na", "Co", "As", "As", "As"], "fractional_positions": [[0.000, 0.000, 0.000], [0.500, 0.500, 0.500], [0.000, 0.500, 0.500], [0.500, 0.000, 0.500], [0.500, 0.500, 0.000]]}



The winner here is arrangement x, beating the second structure by 1417 meV per atom.



Arrangement w

{"formula": "NaCo3As", "functional": "PBE", "state": "relaxed", "m_tot_mub_per_cell": 4.94, "lattice": [[4.456, 0.000, 0.000], [0.000, 4.456, 0.000], [0.000, 0.000, 4.456]], "species": ["Na", "Co", "Co", "Co", "As"], "fractional_positions": [[0.000, 0.000, 0.000], [0.000, 0.500, 0.500], [0.500, 0.000, 0.500], [0.500, 0.500, 0.000], [0.500, 0.500, 0.500]]}



Arrangement x

{"formula": "NaCo3As", "functional": "PBE", "state": "relaxed", "m_tot_mub_per_cell": 5.26, "lattice": [[4.380, 0.000, 0.000], [0.000, 4.380, 0.000], [0.000, 0.000, 4.380]], "species": ["Na", "Co", "Co", "Co", "As"], "fractional_positions": [[0.000, 0.000, 0.000], [0.000, 0.000, 0.500], [0.000, 0.500, 0.000], [0.500, 0.000, 0.000], [0.500, 0.500, 0.500]]}



The winner here is arrangement w, beating the second structure by 1258 meV per atom.



Arrangement w

{"formula": "Nb3CoAs", "functional": "PBE", "state": "relaxed", "m_tot_mub_per_cell": 0.00, "lattice": [[4.702, 0.000, 0.000], [0.000, 4.702, 0.000], [0.000, 0.000, 4.702]], "species": ["Nb", "Nb", "Nb", "Co", "As"], "fractional_positions": [[0.000, 0.000, 0.500], [0.000, 0.500, 0.000], [0.500, 0.000, 0.000], [0.500, 0.500, 0.500], [0.000, 0.000, 0.000]]}



Arrangement x

{"formula": "Nb3CoAs", "functional": "PBE", "state": "relaxed", "m_tot_mub_per_cell": 0.00, "lattice": [[4.588, 0.000, 0.000], [0.000, 4.588, 0.000], [0.000, 0.000, 4.588]], "species": ["Nb", "Nb", "Nb", "Co", "As"], "fractional_positions": [[0.000, 0.000, 0.500], [0.000, 0.500, 0.000], [0.500, 0.000, 0.000], [0.000, 0.000, 0.000], [0.500, 0.500, 0.500]]}



The winner here is arrangement x, beating the second structure by 457 meV per atom.



Arrangement w

{"formula": "NbCoAs3", "functional": "PBE", "state": "relaxed", "m_tot_mub_per_cell": 0.00, "lattice": [[4.527, 0.000, 0.000], [0.000, 4.527, 0.000], [0.000, 0.000, 4.527]], "species": ["Nb", "Co", "As", "As", "As"], "fractional_positions": [[0.000, 0.000, 0.000], [0.500, 0.500, 0.500], [0.000, 0.500, 0.500], [0.500, 0.000, 0.500], [0.500, 0.500, 0.000]]}



Arrangement x

{"formula": "NbCoAs3", "functional": "PBE", "state": "relaxed", "m_tot_mub_per_cell": 2.32, "lattice": [[4.971, 0.000, 0.000], [0.000, 4.971, 0.000], [0.000, 0.000, 4.971]], "species": ["Nb", "Co", "As", "As", "As"], "fractional_positions": [[0.000, 0.000, 0.000], [0.500, 0.500, 0.500], [0.000, 0.000, 0.500], [0.000, 0.500, 0.000], [0.500, 0.000, 0.000]]}



The winner here is arrangement w, beating the second structure by 265 meV per atom.



Arrangement w

{"formula": "NdCo3As3", "functional": "PBE", "state": "relaxed", "m_tot_mub_per_cell": 0.00, "lattice": [[6.371, 0.000, 0.000], [0.000, 6.371, 0.000], [0.000, 0.000, 6.371]], "species": ["Nd", "Nd", "Co", "Co", "Co", "Co", "Co", "Co", "As", "As", "As", "As", "As", "As"], "fractional_positions": [[0.000, 0.000, 0.000], [0.500, 0.500, 0.500], [0.000, 0.250, 0.500], [0.000, 0.750, 0.500], [0.250, 0.500, 0.000], [0.500, 0.000, 0.250], [0.500, 0.000, 0.750], [0.750, 0.500, 0.000], [0.000, 0.500, 0.250], [0.000, 0.500, 0.750], [0.250, 0.000, 0.500], [0.500, 0.250, 0.000], [0.500, 0.750, 0.000], [0.750, 0.000, 0.500]]}



Arrangement x

{"formula": "NdCo3As3", "functional": "PBE", "state": "relaxed", "m_tot_mub_per_cell": 0.00, "lattice": [[3.334, 1.925, 6.755], [-3.334, 1.925, 6.755], [0.000, -3.849, 6.755]], "species": ["Nd", "Nd", "Co", "Co", "Co", "Co", "Co", "Co", "As", "As", "As", "As", "As", "As"], "fractional_positions": [[0.167, 0.167, 0.167], [0.833, 0.833, 0.833], [0.023, 0.378, 0.724], [0.276, 0.977, 0.622], [0.378, 0.724, 0.023], [0.622, 0.276, 0.977], [0.724, 0.023, 0.378], [0.977, 0.622, 0.276], [0.099, 0.715, 0.403], [0.285, 0.597, 0.901], [0.403, 0.099, 0.715], [0.597, 0.901, 0.285], [0.715, 0.403, 0.099], [0.901, 0.285, 0.597]]}



The winner here is arrangement x, beating the second structure by 153 meV per atom.



Arrangement w

{"formula": "CoNi2As2", "functional": "PBE", "state": "relaxed", "m_tot_mub_per_cell": 0.00, "lattice": [[6.275, 0.000, 0.000], [0.000, 6.275, 0.000], [0.000, 0.000, 3.352]], "species": ["Co", "Co", "Ni", "Ni", "Ni", "Ni", "As", "As", "As", "As"], "fractional_positions": [[0.000, 0.000, 0.000], [0.500, 0.500, 0.000], [0.142, 0.358, 0.500], [0.358, 0.858, 0.500], [0.642, 0.142, 0.500], [0.858, 0.642, 0.500], [0.157, 0.657, 0.000], [0.343, 0.157, 0.000], [0.657, 0.843, 0.000], [0.843, 0.343, 0.000]]}



Arrangement x

{"formula": "CoNi2As2", "functional": "PBE", "state": "relaxed", "m_tot_mub_per_cell": 1.96, "lattice": [[6.617, 0.000, 0.000], [0.000, 6.617, 0.000], [0.000, 0.000, 3.044]], "species": ["Co", "Co", "Ni", "Ni", "Ni", "Ni", "As", "As", "As", "As"], "fractional_positions": [[0.000, 0.000, 0.000], [0.500, 0.500, 0.000], [0.130, 0.370, 0.000], [0.370, 0.870, 0.000], [0.630, 0.130, 0.000], [0.870, 0.630, 0.000], [0.175, 0.675, 0.500], [0.325, 0.175, 0.500], [0.675, 0.825, 0.500], [0.825, 0.325, 0.500]]}



Arrangement y

{"formula": "CoNi2As2", "functional": "PBE", "state": "relaxed", "m_tot_mub_per_cell": 1.92, "lattice": [[-1.928, 1.928, 5.101], [1.928, -1.928, 5.101], [1.928, 1.928, -5.101]], "species": ["Co", "Ni", "Ni", "As", "As"], "fractional_positions": [[0.000, 0.000, 0.000], [0.386, 0.386, 0.000], [0.614, 0.614, 0.000], [0.250, 0.750, 0.500], [0.750, 0.250, 0.500]]}



The winner here is arrangement w, beating the second structure by 106 meV per atom.